# 1
Pm4SnPb | PBE | optimized geometry

Values from the calculation:
Calculated total energy ... -4.80 eV/atom
E_form ... -0.3484 eV per atom
Space-group type ... P4/mmm (123)
Crystal system ... tetragonal

abc: 5.292 5.292 7.501
angles: 90.00 90.00 90.00
Sites, in units of the cell vectors:
1 Pm 0.000 0.500 0.246
2 Pm 0.000 0.500 0.754
3 Pm 0.500 0.000 0.246
4 Pm 0.500 0.000 0.754
5 Sn 0.000 0.000 0.000
6 Pb 0.500 0.500 0.500

---

# 2
ZrPt2WCl | PBE | optimized geometry

Values from the calculation:
Calculated total energy ... -6.18 eV/atom
Space-group type ... P4/mmm (123)
Crystal system ... tetragonal

abc: 4.516 4.516 4.631
angles: 90.00 90.00 90.00
Sites, in units of the cell vectors:
1 Zr 0.000 0.000 0.000
2 Pt 0.000 0.500 0.500
3 Pt 0.500 0.000 0.500
4 W 0.500 0.500 0.000
5 Cl 0.000 0.000 0.500

---

# 3
LiTa2GaC | PBE | optimized geometry

Values from the calculation:
Calculated total energy ... -5.68 eV/atom
E_form ... 1.8980 eV per atom
Space-group type ... P4/mmm (123)
Crystal system ... tetragonal

abc: 4.414 4.414 3.823
angles: 90.00 90.00 90.00
Sites, in units of the cell vectors:
1 Li 0.000 0.000 0.000
2 Ta 0.000 0.500 0.000
3 Ta 0.500 0.000 0.000
4 Ga 0.000 0.000 0.500
5 C 0.500 0.500 0.500

---

# 4
Pm4TmMg5 | PBE | optimized geometry

Values from the calculation:
Calculated total energy ... -3.24 eV/atom
E_form ... -0.0948 eV per atom
Space-group type ... P4/mmm (123)
Crystal system ... tetragonal

abc: 3.834 3.834 19.279
angles: 90.00 90.00 90.00
Sites, in units of the cell vectors:
1 Pm 0.000 0.000 0.102
2 Pm 0.000 0.000 0.304
3 Pm 0.000 0.000 0.696
4 Pm 0.000 0.000 0.898
5 Tm 0.000 0.000 0.500
6 Mg 0.500 0.500 0.000
7 Mg 0.500 0.500 0.203
8 Mg 0.500 0.500 0.406
9 Mg 0.500 0.500 0.594
10 Mg 0.500 0.500 0.797

---

# 5
LuAlZn4 | PBE | optimized geometry

Values from the calculation:
Calculated total energy ... -2.35 eV/atom
E_form ... -0.1246 eV per atom
Space-group type ... F-43m (216)
Crystal system ... cubic

abc: 5.280 5.280 5.280
angles: 60.00 60.00 60.00
Sites, in units of the cell vectors:
1 Lu 0.000 0.000 0.000
2 Al 0.750 0.750 0.750
3 Zn 0.375 0.375 0.375
4 Zn 0.375 0.375 0.876
5 Zn 0.375 0.876 0.375
6 Zn 0.876 0.375 0.375

---

# 6
CaTc3O | PBE | optimized geometry

Values from the calculation:
Calculated total energy ... -7.37 eV/atom
Space-group type ... Pm-3m (221)
Crystal system ... cubic

abc: 4.225 4.225 4.225
angles: 90.00 90.00 90.00
Sites, in units of the cell vectors:
1 Ca 0.000 0.000 0.000
2 Tc 0.000 0.500 0.500
3 Tc 0.500 0.000 0.500
4 Tc 0.500 0.500 0.000
5 O 0.500 0.500 0.500

---

# 7
CrFeBr2 | PBE | optimized geometry

Values from the calculation:
Calculated total energy ... -4.93 eV/atom
Space-group type ... C2/m (12)
Crystal system ... monoclinic

abc: 5.314 5.314 3.716
angles: 109.53 109.53 95.58
Sites, in units of the cell vectors:
1 Cr 0.000 0.000 0.000
2 Fe 0.500 0.500 0.000
3 Br 0.000 0.500 0.000
4 Br 0.500 0.000 0.000

---

# 8
Ba2AcRh | PBE | optimized geometry

Values from the calculation:
Calculated total energy ... -3.70 eV/atom
E_form ... 0.1308 eV per atom
Space-group type ... R-3m (166)
Crystal system ... trigonal

abc: 11.921 11.921 11.921
angles: 20.22 20.22 20.22
Sites, in units of the cell vectors:
1 Ba 0.114 0.114 0.114
2 Ba 0.886 0.886 0.886
3 Ac 0.000 0.000 0.000
4 Rh 0.500 0.500 0.500

---

In states/eV per atom, the DOS(E_F) values for the records above are, in order, 1.33 0.84 0.88 1.25 0.46 0.90 0.51 0.76.